[1]
GGA-PBE YAg2SbH, relaxed; space group = P4/mmm, No. 123; density = 7.8 g/cm³; E_tot = -21.2 eV/cell
1.0
4.425 0.000 0.000
0.000 4.425 0.000
0.000 0.000 4.670
Y Ag Sb H
1 2 1 1
Direct
0.000 0.000 0.000 Y
0.000 0.500 0.500 Ag
0.500 0.000 0.500 Ag
0.500 0.500 0.000 Sb
0.000 0.000 0.500 H



[2]
GGA-PBE Np2BiAsH2, relaxed; space group = P-3m1, No. 164; density = 11.5 g/cm³; E_tot = -43.1 eV/cell
1.0
3.824 0.000 0.000
-1.912 3.312 0.000
0.000 0.000 8.655
Np Bi As H
2 1 1 2
Direct
0.333 0.667 0.215 Np
0.667 0.333 0.785 Np
0.000 0.000 0.500 Bi
0.000 0.000 0.000 As
0.333 0.667 0.763 H
0.667 0.333 0.237 H



[3]
GGA-PBE Sr2LiMg2, relaxed; space group = P4/mbm, No. 127; energy above the most stable polymorph in this dataset = 196 meV/atom; density = 2.0 g/cm³; E_tot = -15.2 eV/cell; ΔE_f = 173 meV per atom
1.0
9.845 0.000 0.000
0.000 9.845 0.000
0.000 0.000 3.949
Sr Li Mg
4 2 4
Direct
0.174 0.326 0.000 Sr
0.326 0.826 0.000 Sr
0.674 0.174 0.000 Sr
0.826 0.674 0.000 Sr
0.000 0.000 0.000 Li
0.500 0.500 0.000 Li
0.116 0.616 0.500 Mg
0.384 0.116 0.500 Mg
0.616 0.884 0.500 Mg
0.884 0.384 0.500 Mg